Record 1
DFT (PBE-GGA) results for crystalline Sc4NiOs at its relaxed geometry.

Output
Formation enthalpy at 0 K (meV per atom): -277
Space group: P2_1/m
Magnetic moment (μB per atom): 0.00
Crystal system: monoclinic

a b c (Å): 5.192 5.923 8.031
angles (deg): 90.00 111.19 90.00
Fractional coordinates of all 12 atoms:
1 Sc 0.046 0.989 0.797
2 Sc 0.578 0.250 0.841
3 Sc 0.046 0.511 0.797
4 Sc 0.398 0.750 0.570
5 Sc 0.954 0.489 0.203
6 Sc 0.422 0.750 0.159
7 Sc 0.954 0.011 0.203
8 Sc 0.602 0.250 0.430
9 Ni 0.150 0.250 0.532
10 Ni 0.850 0.750 0.468
11 Os 0.646 0.750 0.912
12 Os 0.354 0.250 0.088


Record 2
DFT (PBE-GGA) results for crystalline Sc4NiOs at its relaxed geometry.

Output
Formation enthalpy at 0 K (meV per atom): -239
Space group: P4/mmm
Magnetic moment (μB per atom): 0.00
Crystal system: tetragonal

a b c (Å): 4.480 4.481 6.309
angles (deg): 89.97 89.98 90.00
Fractional coordinates of all 6 atoms:
1 Ni 0.001 0.998 0.498
2 Sc 0.501 0.998 0.749
3 Sc 0.001 0.497 0.248
4 Sc 0.501 0.997 0.248
5 Sc 0.001 0.498 0.749
6 Os 0.501 0.497 0.998


Record 3
DFT (PBE-GGA) results for crystalline Sc3NiOs at its relaxed geometry.

Output
Formation enthalpy at 0 K (meV per atom): 300
Space group: Pm-3m
Magnetic moment (μB per atom): 0.00
Crystal system: cubic

a b c (Å): 4.962 4.962 4.962
angles (deg): 90.00 90.00 90.00
Fractional coordinates of all 5 atoms:
1 Os 0.000 0.000 0.000
2 Sc 0.000 0.500 0.000
3 Sc 0.500 0.000 0.000
4 Sc 0.000 0.000 0.500
5 Ni 0.500 0.500 0.500


Record 4
DFT (PBE-GGA) results for crystalline Sc2NiOs at its relaxed geometry.

Output
Formation enthalpy at 0 K (meV per atom): -61
Space group: F-43m
Magnetic moment (μB per atom): 0.00
Crystal system: cubic

a b c (Å): 4.497 4.497 4.497
angles (deg): 60.00 60.00 60.00
Fractional coordinates of all 4 atoms:
1 Sc 0.750 0.750 0.750
2 Sc 0.000 0.000 0.000
3 Os 0.250 0.250 0.250
4 Ni 0.500 0.500 0.500


formation enthalpy at 0 K of number 2 (Sc4NiOs)? -239 meV per atom